VASP calculation (PBE) on Ti3VTc4 after structural relaxation.

Properties
space group	Pmmm (47)
ΔE_f	-0.48	eV/atom
DOS at the Fermi energy	4.8	states/eV/cell

abc: 3.0877 4.3618 8.7217
angles: 90.00 90.00 90.00
Element x y z (fractional)
Tc  0.0000  0.5000  0.2424
Tc  0.0000  0.0000  0.0000
V  0.5000  0.5000  0.0000
Tc  0.0000  0.5000  0.7576
Tc  0.0000  0.0000  0.5000
Ti  0.5000  0.0000  0.7514
Ti  0.5000  0.5000  0.5000
Ti  0.5000  0.0000  0.2486


VASP calculation (PBE) on Y3Ho2ThS6 after structural relaxation.

Properties
space group	C2/m (12)
DOS at the Fermi energy	6.1	states/eV/cell
formation energy (no corrections)	-1.951	eV/atom

abc: 3.9231 7.8857 8.7785
angles: 102.73 102.91 90.00
Element x y z (fractional)
S  0.0017  0.2611  0.0034
Y  0.1628  0.8340  0.3257
S  0.6718  0.0885  0.3436
S  0.6688  0.5815  0.3375
S  0.9983  0.7389  0.9966
S  0.3312  0.4185  0.6625
Y  0.8372  0.1660  0.6743
Ho  0.8353  0.6702  0.6706
Ho  0.1647  0.3298  0.3294
Y  0.5000  0.5000  0.0000
Th  0.5000  0.0000  0.0000
S  0.3282  0.9115  0.6564